# ZrCoSb2H

ZrCoSb2H after structural relaxation (PBE, Alexandria).

abc: 4.9943 3.2949 4.9943
angles: 90.00 90.00 90.00
Last column: nearest neighbours and their distance in Å.
Fractional coordinates of all 5 atoms:
Sb  0.0000  0.0000  0.5000  2 H 2.50
Sb  0.5000  0.0000  0.0000  2 H 2.50
Co  0.0000  0.5000  0.0000  2 H 1.65
Zr  0.5000  0.5000  0.5000  8 Sb 2.99, 2 Zr 3.29
H  0.0000  0.0000  0.0000  2 Co 1.65

Values from the calculation:
Total energy, eV/atom: -5.51

***

# ScCoH4

ScCoH4 after structural relaxation (PBE, Alexandria).

abc: 3.4182 3.9943 3.9943
angles: 100.55 115.33 64.67
Last column: nearest neighbours and their distance in Å.
Fractional coordinates of all 6 atoms:
Sc  0.7500  0.5000  0.5000  8 H 2.16-2.18
Co  0.5000  0.0000  0.0000  4 H 1.58
H  0.4533  0.0902  0.3859  1 Co 1.58
H  0.1575  0.9098  0.6141  1 Co 1.58
H  0.4565  0.3859  0.9098  1 Co 1.58
H  0.9327  0.6141  0.0902  1 Co 1.58

Values from the calculation:
Excess energy over the best structure of this formula in the dataset, eV/atom: 0.178
Total energy, eV/atom: -4.61

***

Q: Which formula does entry 2 have?
A: ScCoH4